No. 1
Here is a relaxed YAg2Pt2 crystal from Alexandria via LeMat-Bulk. Energies are from GGA-PBE.

Geometry as POSCAR:
```
YAg2Pt2
1.0
3.8769 0.0000 0.0000
0.0000 3.8769 0.0000
1.9385 1.9385 6.7156
Y Ag Pt
1 2 2
direct
0.0000 0.0000 0.0000
0.7500 0.2500 0.5000
0.2500 0.7500 0.5000
0.4024 0.4024 0.1952
0.5976 0.5976 0.8048
```

Output
Formation energy from the elements: -502.2 meV per atom
Total magnetic moment: 0.000 μB/cell
Electronic total energy: -5.352 eV/atom
Polymorph energy (0 for the lowest one): 0.000 eV per formula unit

---

No. 2
Here is a relaxed KSnMo3 crystal from Alexandria via LeMat-Bulk. Energies are from GGA-PBE.

Geometry as POSCAR:
```
KSnMo3
1.0
-3.9516 1.8145 -1.4766
1.2078 -0.8999 -4.3381
-2.0035 -4.1214 0.2972
K Mo Sn
1 3 1
direct
0.0000 0.0000 0.0000
0.0000 0.5000 0.0000
0.0000 0.0000 0.5000
0.5000 0.0000 0.0000
0.5000 0.5000 0.5000
```

Output
Formation energy from the elements: 2871.1 meV per atom
Total magnetic moment: 0.000 μB/cell
Electronic total energy: -4.648 eV/atom
Polymorph energy (0 for the lowest one): 3.126 eV per formula unit